(1)
Here is an optimized crystal structure of NbZn2Cd from Alexandria via LeMat-Bulk. Energies are from PBE-GGA.

The calculated volume is 17.692 Å³/atom. The density of states at the Fermi level comes out at 0.47 states/eV/atom. The value obtained for the spin magnetization is 0.000 μB/f.u. The value obtained for the formation energy is 105 meV/atom.

Lattice parameters (Å, degrees): 2.9230 2.9230 28.6926 90.00 90.00 120.00
Closest atoms and distances in Å follow each position.
Space group R-3m (No. 166, hexagonal axes)
Symmetry-distinct sites (fractional):
Nb1 0.0000 0.0000 0.0000 x3  6 Zn 2.86, 6 Nb 2.92
Zn1 0.0000 0.0000 0.2528 x6  3 Nb 2.86, 6 Zn 2.92, 3 Cd 2.99
Cd1 0.0000 0.0000 0.5000 x3  6 Cd 2.92, 6 Zn 2.99

---

(2)
Here is an optimized crystal structure of InRhI2O from Alexandria via LeMat-Bulk. Energies are from PBE-GGA.

The calculated volume is 27.665 Å³/atom. Its formation energy (no corrections) is 0.25 eV/atom. The calculation puts the energy above the most stable polymorph in this dataset at 527 meV per atom. The density of states at the Fermi level comes out at 0.94 states/eV/atom. The value obtained for the spin magnetization is 2.017 μB/f.u.

Lattice parameters (Å, degrees): 5.9534 5.9534 3.9027 90.00 90.00 90.00
Closest atoms and distances in Å follow each position.
Space group P4/mmm (No. 123)
Symmetry-distinct sites (fractional):
In1 0.0000 0.0000 0.0000 x1  2 O 1.95
Rh1 0.5000 0.5000 0.5000 x1  8 I 3.56, 2 Rh 3.90
I1 0.0000 0.5000 0.0000 x2  2 In 2.98
O1 0.0000 0.0000 0.5000 x1  2 In 1.95

---

(3)
Here is an optimized crystal structure of NiTeP2Pt from Alexandria via LeMat-Bulk. Energies are from PBE-GGA.

The calculated volume is 18.579 Å³/atom. Its formation energy (no corrections) is -0.18 eV/atom. The calculation puts the energy above the most stable polymorph in this dataset at 124 meV per atom. The density of states at the Fermi level comes out at 0.45 states/eV/atom. The value obtained for the spin magnetization is 0.000 μB/f.u.

Lattice parameters (Å, degrees): 3.1213 4.0078 8.2030 82.69 79.48 67.30
Closest atoms and distances in Å follow each position.
Space group P1 (No. 1)
Symmetry-distinct sites (fractional):
Ni1 0.0000 0.0000 0.0000 x1  5 P 2.28-2.32
Te1 0.0036 0.6345 0.3763 x1  1 P 2.55, 1 Pt 2.72
P1 0.2609 0.3971 0.0864 x1  3 Ni 2.28-2.29, 1 Te 2.55
P2 0.6559 0.8812 0.7984 x1  2 Ni 2.31-2.32, 3 Pt 2.35
Pt1 0.9996 0.3064 0.6883 x1  3 P 2.35

---

(4)
Here is an optimized crystal structure of PuH6Pt from Alexandria via LeMat-Bulk. Energies are from PBE-GGA.

The calculated volume is 8.873 Å³/atom. The calculation puts the energy at -0.1956 Ha/atom. The density of states at the Fermi level comes out at 1.38 states/eV/atom. The value obtained for the spin magnetization is 5.785 μB/f.u.

Lattice parameters (Å, degrees): 4.5091 4.5091 12.0940 90.00 90.00 120.00
Closest atoms and distances in Å follow each position.
Space group R-3m (No. 166, hexagonal axes)
Symmetry-distinct sites (fractional):
Pu1 0.0000 0.0000 0.0000 x3  12 H 2.50
H1 0.0217 0.5108 0.9118 x18  1 Pt 1.68
Pt1 0.0000 0.0000 0.5000 x3  6 H 1.68

---

- The highest spin magnetization belongs to which entry?
  PuH6Pt

---

Repeat the fourth record exactly.
Here is an optimized crystal structure of PuH6Pt from Alexandria via LeMat-Bulk. Energies are from PBE-GGA.

The calculated volume is 8.873 Å³/atom. The calculation puts the energy at -0.1956 Ha/atom. The density of states at the Fermi level comes out at 1.38 states/eV/atom. The value obtained for the spin magnetization is 5.785 μB/f.u.

Lattice parameters (Å, degrees): 4.5091 4.5091 12.0940 90.00 90.00 120.00
Closest atoms and distances in Å follow each position.
Space group R-3m (No. 166, hexagonal axes)
Symmetry-distinct sites (fractional):
Pu1 0.0000 0.0000 0.0000 x3  12 H 2.50
H1 0.0217 0.5108 0.9118 x18  1 Pt 1.68
Pt1 0.0000 0.0000 0.5000 x3  6 H 1.68

---

- What is the density of states at the Fermi level in the second record?
  0.94 states/eV/atom

---

- Which of these has the highest calculated volume?
  InRhI2O